Record 1
MgNi3Ge3 (GGA-PBE, relaxed); energy of formation = -0.1393 eV per atom; symmetry = P6_3/m
1.0
-3.6227 -1.8161 -0.6217
3.2537 -4.6659 -5.3302
-0.1949 -2.1733 7.4838
Ni Ge Mg
6 6 2
direct
0.2500 0.9300 0.7757
0.7500 0.0700 0.2243
0.7500 0.1542 0.9300
0.2500 0.2243 0.1542
0.7500 0.7757 0.8458
0.2500 0.8458 0.0700
0.7500 0.7046 0.1087
0.2500 0.2954 0.8913
0.2500 0.5959 0.7046
0.2500 0.1087 0.4041
0.7500 0.8913 0.5959
0.7500 0.4041 0.2954
0.2500 0.6667 0.3333
0.7500 0.3333 0.6667

Record 2
Ca2CoAs2 (GGA-PBE, relaxed); energy of formation = -0.0789 eV per atom; symmetry = P4/mbm
1.0
-2.8396 -2.2088 -7.6351
7.8593 0.4290 -3.0471
0.4574 -3.1384 0.7378
As Ca Co
4 4 2
direct
0.6685 0.8315 0.5000
0.8315 0.3315 0.5000
0.1685 0.6685 0.5000
0.3315 0.1685 0.5000
0.1360 0.3640 0.0000
0.6360 0.1360 0.0000
0.3640 0.8640 0.0000
0.8640 0.6360 0.0000
0.0000 0.0000 0.0000
0.5000 0.5000 0.0000

Record 3
Na2TaO4 (GGA-PBE, relaxed); symmetry = I4/mmm; uncorrected formation energy = -2087 meV/atom
1.0
3.9982 0.0000 0.0000
0.0000 3.9982 0.0000
-1.9991 -1.9991 6.1625
O Ta Na
4 1 2
direct
0.0000 0.5000 0.0000
0.8414 0.8414 0.6828
0.1586 0.1586 0.3172
0.5000 0.0000 0.0000
0.0000 0.0000 0.0000
0.3437 0.3437 0.6873
0.6563 0.6563 0.3127

Record 4
Sm8Dy3Sc2 (GGA-PBE, relaxed); energy of formation = 0.2227 eV per atom; symmetry = C2/m
1.0
6.3025 0.4677 2.3648
2.3657 8.0477 4.3537
1.0404 0.4900 9.3806
Sm Sc Dy
8 2 3
direct
0.9756 0.4042 0.4042
0.4505 0.8032 0.4414
0.0134 0.1894 0.1894
0.0244 0.5958 0.5958
0.9866 0.8106 0.8106
0.4505 0.4414 0.8032
0.5495 0.5586 0.1968
0.5495 0.1968 0.5586
0.5272 0.1960 0.1960
0.4728 0.8040 0.8040
0.0000 0.8305 0.1695
0.5000 0.0000 0.0000
0.0000 0.1695 0.8305

Record 5
PdPbI (GGA-PBE, relaxed); symmetry = C2/m; uncorrected formation energy = -249 meV/atom; excess energy over the best structure of this formula in the dataset = 26 meV/atom
1.0
-1.7084 -3.5116 0.3466
3.5885 -1.3241 4.2724
-9.8461 6.4960 10.2833
Pd Pb I
4 4 4
direct
0.5000 0.2528 0.5000
0.5000 0.7472 0.5000
0.5000 0.7528 0.0000
0.5000 0.2472 0.0000
0.9818 0.5000 0.3890
0.0182 0.5000 0.6110
0.0182 0.0000 0.1110
0.9818 0.0000 0.8890
0.5315 0.0000 0.6547
0.4685 0.0000 0.3453
0.4685 0.5000 0.8453
0.5315 0.5000 0.1547

Record 6
NdTmGa2 (GGA-PBE, relaxed); energy of formation = -0.5170 eV per atom; symmetry = Pnma; excess energy over the best structure of this formula in the dataset = 81 meV/atom
1.0
-2.9171 -0.3493 3.0264
5.7379 -3.4377 5.1338
2.7320 10.2610 3.8174
Tm Nd Ga
4 4 8
direct
0.7500 0.5121 0.8831
0.7500 0.0121 0.6169
0.2500 0.9879 0.3831
0.2500 0.4879 0.1169
0.2500 0.1397 0.8609
0.7500 0.3603 0.3609
0.2500 0.6397 0.6391
0.7500 0.8603 0.1391
0.2500 0.1405 0.1600
0.7500 0.3595 0.6600
0.2500 0.7512 0.9421
0.2500 0.2512 0.5579
0.7500 0.7488 0.4421
0.7500 0.2488 0.0579
0.7500 0.8595 0.8400
0.2500 0.6405 0.3400

The records above give, respectively, total DFT energy (no corrections) values of -67.53 -41.61 -48.93 -61.33 -44.80 -69.44 eV per cell.
The records above give, respectively, DOS(E_F) values of 12.174 11.549 3.217 16.299 4.480 14.847 states/eV per cell.